Record 1
Ce2FeP2H4 | PBE-GGA | relaxed

Lattice parameters (Å, degrees): 5.5204 5.5204 5.5204 120.36 120.36 89.39
Atoms (fractional coordinates):
Ce  0.2500  0.7500  0.5000
Ce  0.7500  0.2500  0.5000
Fe  0.0000  0.0000  0.0000
P  0.2889  0.2889  0.0000
P  0.7111  0.7111  0.0000
H  0.2087  0.2087  0.4174
H  0.2087  0.7913  0.0000
H  0.7913  0.2087  0.0000
H  0.7913  0.7913  0.5826

Computed properties:
Crystal system = tetragonal
E = -5.484 eV per atom
Spin magnetization = 0.00 μB per cell


Record 2
CeFe2H8Pd | PBE-GGA | relaxed

Lattice parameters (Å, degrees): 4.6248 4.6248 6.5931 90.00 90.00 120.00
Atoms (fractional coordinates):
Ce  0.0000  0.0000  0.0000
Fe  0.3333  0.6667  0.3320
Fe  0.6667  0.3333  0.6680
H  0.1378  0.2757  0.2947
H  0.1378  0.8622  0.2947
H  0.2757  0.1378  0.7053
H  0.3333  0.6667  0.0794
H  0.6667  0.3333  0.9206
H  0.7243  0.8622  0.2947
H  0.8622  0.1378  0.7053
H  0.8622  0.7243  0.7053
Pd  0.0000  0.0000  0.5000

Computed properties:
Crystal system = trigonal
E = -4.468 eV per atom
Spin magnetization = 3.93 μB per cell


Record 3
CeFeH8Rh2 | PBE-GGA | relaxed

Lattice parameters (Å, degrees): 6.0484 6.0484 6.0484 45.01 45.01 45.01
Atoms (fractional coordinates):
Ce  0.0000  0.0000  0.0000
Fe  0.5000  0.5000  0.5000
H  0.1546  0.7857  0.4042
H  0.2143  0.5958  0.8454
H  0.3110  0.3110  0.3110
H  0.4042  0.1546  0.7857
H  0.5958  0.8454  0.2143
H  0.6890  0.6890  0.6890
H  0.7857  0.4042  0.1546
H  0.8454  0.2143  0.5958
Rh  0.2063  0.2063  0.2063
Rh  0.7937  0.7937  0.7937

Computed properties:
Crystal system = trigonal
E = -4.830 eV per atom
Spin magnetization = 1.40 μB per cell


Record 4
CeFe2SnH8 | PBE-GGA | relaxed

Lattice parameters (Å, degrees): 6.1817 6.1817 6.1817 44.46 44.46 44.46
Atoms (fractional coordinates):
Ce  0.0000  0.0000  0.0000
Fe  0.1972  0.1972  0.1972
Fe  0.8028  0.8028  0.8028
Sn  0.5000  0.5000  0.5000
H  0.0200  0.0200  0.6080
H  0.0200  0.6080  0.0200
H  0.2954  0.2954  0.2954
H  0.3920  0.9800  0.9800
H  0.6080  0.0200  0.0200
H  0.7046  0.7046  0.7046
H  0.9800  0.3920  0.9800
H  0.9800  0.9800  0.3920

Computed properties:
Crystal system = trigonal
E = -4.497 eV per atom
Spin magnetization = 1.52 μB per cell


Record 5
Ce6FeSn2H | PBE-GGA | relaxed

Lattice parameters (Å, degrees): 7.0084 7.0084 7.0084 120.22 120.22 89.62
Atoms (fractional coordinates):
Ce  0.2365  0.2365  0.0000
Ce  0.2446  0.2446  0.4892
Ce  0.2446  0.7554  0.0000
Ce  0.7554  0.2446  0.0000
Ce  0.7554  0.7554  0.5108
Ce  0.7635  0.7635  0.0000
Fe  0.5000  0.5000  0.0000
Sn  0.2500  0.7500  0.5000
Sn  0.7500  0.2500  0.5000
H  0.0000  0.0000  0.0000

Computed properties:
Crystal system = tetragonal
E = -5.918 eV per atom
Spin magnetization = 3.42 μB per cell


Record 6
Ce6Tl2FeH | PBE-GGA | relaxed

Lattice parameters (Å, degrees): 7.0654 7.0627 7.0131 60.26 60.22 59.52
Atoms (fractional coordinates):
Ce  0.2294  0.2294  0.7706
Ce  0.2483  0.7517  0.2483
Ce  0.2490  0.7510  0.7510
Ce  0.7510  0.2490  0.2490
Ce  0.7517  0.2483  0.7517
Ce  0.7706  0.7706  0.2294
Tl  0.2500  0.2500  0.2500
Tl  0.7500  0.7500  0.7500
Fe  0.5000  0.5000  0.5000
H  0.0000  0.0000  0.0000

Computed properties:
Crystal system = orthorhombic
E = -5.386 eV per atom
Spin magnetization = 3.64 μB per cell